# NdB6Pt12 | Alexandria | PBE-GGA | optimized geometry
# Spin magnetization   0.000 μB/f.u.
# ΔE_f   -0.304 eV per atom
# DFT total energy   -6.48 eV/atom
data_NdB6Pt12
_chemical_formula_sum 'Nd3 B18 Pt36'
_symmetry_space_group_name_H-M 'R -3 m'
_symmetry_Int_Tables_number 166
_symmetry_space_group_name_Hall '-R 3 2"'
_cell_length_a 10.7894
_cell_length_b 10.7894
_cell_length_c 8.1125
_cell_angle_alpha 90.00
_cell_angle_beta 90.00
_cell_angle_gamma 120.00
loop_
_atom_site_label
_atom_site_fract_x
_atom_site_fract_y
_atom_site_fract_z
_atom_site_occupancy
Nd1 0.0000 0.0000 0.0000 1
B1 0.0680 0.5340 0.3091 1
Pt1 0.0000 0.3717 0.5000 1
Pt2 0.0909 0.1817 0.3624 1